First-principles (GGA-PBE) data for an optimized crystal structure of Ce2Rh4Au2C, as listed in Alexandria via LeMat-Bulk.

Energy of formation from the pure elements, eV per atom: -0.406
N(E_F), states/eV/f.u.: 2.65
Symmetry: No. 139
Total moment, μB per formula unit: 0.0

The structure in POSCAR format:
```
Ce2Rh4Au2C
1.0
-2.996 2.996 4.241
2.996 -2.996 4.241
2.996 2.996 -4.241
Ce Rh Au C
2 4 2 1
Direct
0.222 0.222 0.000
0.778 0.778 0.000
0.252 0.252 0.505
0.252 0.748 0.000
0.748 0.252 0.000
0.748 0.748 0.495
0.250 0.750 0.500
0.750 0.250 0.500
0.500 0.500 0.000
```

---

First-principles (GGA-PBE) data for an optimized crystal structure of CeSm3Au2C, as listed in Alexandria via LeMat-Bulk.

Energy of formation from the pure elements, eV per atom: -0.443
N(E_F), states/eV/f.u.: 8.19
Symmetry: No. 71
Total moment, μB per formula unit: 0.0

The structure in POSCAR format:
```
CeSm3Au2C
1.0
-2.402 2.503 7.486
2.402 -2.503 7.486
2.402 2.503 -7.486
Ce Sm Au C
1 3 2 1
Direct
0.000 0.000 0.000
0.175 0.675 0.500
0.500 0.500 0.000
0.825 0.325 0.500
0.370 0.870 0.500
0.630 0.130 0.500
0.000 0.500 0.500
```

---

First-principles (GGA-PBE) data for an optimized crystal structure of TbCe2AuC, as listed in Alexandria via LeMat-Bulk.

Energy of formation from the pure elements, eV per atom: -0.299
N(E_F), states/eV/f.u.: 10.06
Symmetry: No. 123
Total moment, μB per formula unit: 0.6

The structure in POSCAR format:
```
TbCe2AuC
1.0
4.875 0.000 0.000
0.000 4.875 0.000
0.000 0.000 4.919
Tb Ce Au C
1 2 1 1
Direct
0.000 0.000 0.000
0.000 0.500 0.500
0.500 0.000 0.500
0.500 0.500 0.000
0.000 0.000 0.500
```

---

First-principles (GGA-PBE) data for an optimized crystal structure of CeThAuC, as listed in Alexandria via LeMat-Bulk.

Energy of formation from the pure elements, eV per atom: -0.398
N(E_F), states/eV/f.u.: 5.54
Symmetry: No. 160
Total moment, μB per formula unit: 0.8

The structure in POSCAR format:
```
CeThAuC
1.0
1.847 1.066 7.592
-1.847 1.066 7.592
0.000 -2.133 7.592
Ce Th Au C
1 1 1 1
Direct
0.000 0.000 0.000
0.206 0.206 0.206
0.769 0.769 0.769
0.603 0.603 0.603
```

---

First-principles (GGA-PBE) data for an optimized crystal structure of Ce2ThAuC, as listed in Alexandria via LeMat-Bulk.

Energy of formation from the pure elements, eV per atom: -0.271
N(E_F), states/eV/f.u.: 9.38
Symmetry: No. 123
Total moment, μB per formula unit: 0.7

The structure in POSCAR format:
```
Ce2ThAuC
1.0
4.894 0.000 0.000
0.000 4.894 0.000
0.000 0.000 5.025
Ce Th Au C
2 1 1 1
Direct
0.000 0.500 0.000
0.500 0.000 0.000
0.000 0.000 0.500
0.500 0.500 0.500
0.000 0.000 0.000
```

---

First-principles (GGA-PBE) data for an optimized crystal structure of CeTh2AuC, as listed in Alexandria via LeMat-Bulk.

Energy of formation from the pure elements, eV per atom: -0.387
N(E_F), states/eV/f.u.: 8.01
Symmetry: No. 11
Total moment, μB per formula unit: 0.7

The structure in POSCAR format:
```
CeTh2AuC
1.0
7.578 0.000 0.000
0.000 3.800 0.000
-1.859 0.000 8.782
Ce Th Au C
2 4 2 2
Direct
0.249 0.250 0.421
0.751 0.750 0.579
0.075 0.250 0.851
0.386 0.750 0.136
0.614 0.250 0.864
0.925 0.750 0.149
0.313 0.750 0.691
0.687 0.250 0.309
0.157 0.250 0.142
0.843 0.750 0.858
```

---

- Which formula does entry 5 have?
  Ce2ThAuC

---

- Which formula does entry 5 have?
  Ce2ThAuC